First-principles (SCAN) data for MoC2F2 at its PBEsol-relaxed geometry, as listed in the Alexandria database.

```
MoC2F2
1.0
-0.3325 3.0085 0.7539
-2.7315 0.0751 -1.5044
-0.6523 -2.7618 4.2805
Mo C F
1 2 2
Cartesian
0.0000 0.0000 0.0000 Mo
-1.8511 -1.0338 3.3094 C
-1.8653 1.3556 0.2206 C
-2.4579 -0.5724 1.2004 F
-1.2584 0.8942 2.3295 F
```

Results
The raw total energy is -11.260 eV per atom. The value obtained for the total magnetization is 0.0 μB per formula unit. The volume is 45.1 Å³ per cell.



First-principles (SCAN) data for MoCN2F at its PBEsol-relaxed geometry, as listed in the Alexandria database.

```
MoCN2F
1.0
3.8872 0.0000 0.0000
0.0000 3.8872 0.0000
0.0000 0.0000 3.9147
Mo N C F
1 2 1 1
Cartesian
0.0000 0.0000 0.0000 Mo
0.0000 1.9436 0.0000 N
1.9436 0.0000 0.0000 N
1.9436 1.9436 1.9574 C
0.0000 0.0000 1.9574 F
```

Results
The raw total energy is -12.290 eV per atom. The value obtained for the total magnetization is 1.0 μB per formula unit. The volume is 59.2 Å³ per cell.



First-principles (SCAN) data for NiCNF2 at its PBEsol-relaxed geometry, as listed in the Alexandria database.

```
NiCNF2
1.0
-0.6542 -2.6229 2.5473
3.2395 0.7841 1.6393
-1.6699 2.4727 2.1173
Ni C N F
1 1 1 2
Cartesian
0.0000 0.0000 0.0000 Ni
0.4578 0.3169 3.1519 C
-0.8349 1.2364 1.0586 N
1.6198 0.3920 0.8196 F
-0.3271 -1.3115 1.2737 F
```

Results
The raw total energy is -7.666 eV per atom. The value obtained for the total magnetization is 1.4 μB per formula unit. The volume is 50.5 Å³ per cell.



First-principles (SCAN) data for SbC2NO2F6 at its PBEsol-relaxed geometry, as listed in the Alexandria database.

```
SbC2NO2F6
1.0
-3.9517 3.7310 1.0203
-5.9923 -6.4722 0.4584
4.3263 0.6696 14.3077
C F N O Sb
8 24 4 8 4
Cartesian
0.1953 -0.3937 4.8666 C
-6.7046 -3.2133 3.4375 C
-5.8130 -1.6779 10.9197 C
1.0869 1.1417 12.3488 C
-1.9738 -0.8029 5.6455 C
-6.5618 -0.8909 3.1818 C
-3.6439 -1.2687 10.1408 C
0.9441 -1.1807 12.6045 C
-4.9484 -4.5432 6.7656 F
-3.3139 2.5914 1.9912 F
-0.6693 2.4716 9.0207 F
-2.3038 -4.6629 13.7951 F
-4.1562 -2.0094 7.5881 F
-2.0056 -1.9255 0.6263 F
-1.4615 -0.0621 8.1982 F
-3.6121 -0.1460 15.1600 F
-6.7269 -0.7427 6.1037 F
-2.8908 0.0705 3.0030 F
1.1092 -1.3288 9.6826 F
-2.7269 -2.1421 12.7833 F
-4.5599 -2.4901 4.9730 F
-4.8128 1.5866 4.0704 F
-1.0578 0.4186 10.8133 F
-0.8049 -3.6582 11.7159 F
-2.3874 -3.9847 7.6882 F
0.2854 0.9710 14.9027 F
-3.2303 1.9132 8.0981 F
-5.9031 -3.0425 0.8836 F
-3.0626 -0.1005 5.8388 F
-3.3618 -3.5866 2.4435 F
-2.5551 -1.9711 9.9475 F
-2.2559 1.5151 13.3428 F
-0.9343 -0.0817 5.2538 N
-7.1318 -2.0554 3.4523 N
-4.6834 -1.9899 10.5325 N
1.5141 -0.0162 12.3340 N
-2.6770 3.2109 5.4840 O
-6.4533 -4.3432 3.4968 O
-2.9407 -5.2825 10.3023 O
0.8356 2.2717 12.2895 O
-1.9747 -2.0356 5.8290 O
-5.4214 -0.7340 2.7041 O
-3.6430 -0.0359 9.9573 O
-0.1963 -1.3375 13.0822 O
-3.5662 -3.3271 6.3609 Sb
-4.3503 1.0488 2.3066 Sb
-2.0515 1.2555 9.4254 Sb
-1.2674 -3.1204 13.4797 Sb
```

Results
The raw total energy is -10.001 eV per atom. The value obtained for the total magnetization is 0.1 μB per formula unit. The volume is 718.9 Å³ per cell.



First-principles (SCAN) data for ReCN2F at its PBEsol-relaxed geometry, as listed in the Alexandria database.

```
ReCN2F
1.0
3.8352 0.0000 0.0000
0.0000 3.8352 0.0000
0.0000 0.0000 3.9738
Re C N F
1 1 2 1
Cartesian
0.0000 0.0000 0.0000 Re
1.9176 1.9176 1.9869 C
0.0000 1.9176 0.0000 N
1.9176 0.0000 0.0000 N
0.0000 0.0000 1.9869 F
```

Results
The raw total energy is -19.345 eV per atom. The value obtained for the total magnetization is 1.4 μB per formula unit. The volume is 58.4 Å³ per cell.



First-principles (SCAN) data for RhCNF2 at its PBEsol-relaxed geometry, as listed in the Alexandria database.

```
RhCNF2
1.0
-2.0557 -2.4351 -1.7543
3.1264 -0.8318 -2.5089
1.2782 -2.9255 2.5628
C N Rh F
1 1 1 2
Cartesian
1.1744 -3.0962 -0.8502 C
-1.0279 -1.2176 -0.8772 N
0.0000 0.0000 0.0000 Rh
0.6391 -1.4627 1.2814 F
1.5632 -0.4159 -1.2544 F
```

Results
The raw total energy is -11.055 eV per atom. The value obtained for the total magnetization is 0.9 μB per formula unit. The volume is 61.0 Å³ per cell.



First-principles (SCAN) data for ScCNF2 at its PBEsol-relaxed geometry, as listed in the Alexandria database.

```
ScCNF2
1.0
-1.7139 0.5618 -1.7376
-1.4307 -4.2412 0.0400
-2.9337 1.0200 3.2233
Sc C N F
1 1 1 2
Cartesian
-3.0391 -1.3297 0.7628 Sc
0.0000 0.0000 0.0000 C
-0.8570 0.2809 -0.8688 N
-1.4668 0.5100 1.6117 F
-0.7153 -2.1206 0.0200 F
```

Results
The raw total energy is -9.008 eV per atom. As for the distance to the lowest polymorph of the same formula: 0 meV per atom. The value obtained for the total magnetization is 0.0 μB per formula unit. The volume is 50.2 Å³ per cell.



First-principles (SCAN) data for ScCNF2 at its PBEsol-relaxed geometry, as listed in the Alexandria database.

```
ScCNF2
1.0
-0.4001 3.5266 -1.6323
-3.8851 -0.3276 0.2446
0.0954 1.8734 4.0240
Sc C N F
1 1 1 2
Cartesian
0.0000 0.0000 0.0000 Sc
-2.0949 2.5362 1.3182 C
0.0477 0.9367 2.0120 N
-1.9426 -0.1638 0.1223 F
-0.2001 1.7633 -0.8162 F
```

Results
The raw total energy is -8.634 eV per atom. As for the distance to the lowest polymorph of the same formula: 374 meV per atom. The value obtained for the total magnetization is 0.0 μB per formula unit. The volume is 67.8 Å³ per cell.



First-principles (SCAN) data for SrCN2F at its PBEsol-relaxed geometry, as listed in the Alexandria database.

```
SrCN2F
1.0
-4.0818 -2.0763 0.1319
1.7564 -3.6668 -3.3656
1.6308 -2.9480 4.0629
Sr C N F
1 1 2 1
Cartesian
0.0000 0.0000 0.0000 Sr
-0.3473 -4.3455 0.4146 C
0.8154 -1.4740 2.0315 N
0.8782 -1.8334 -1.6828 N
-2.0409 -1.0381 0.0659 F
```

Results
The raw total energy is -9.140 eV per atom. The value obtained for the total magnetization is 7.0 μB per formula unit. The volume is 127.6 Å³ per cell.



First-principles (SCAN) data for TcCNF2 at its PBEsol-relaxed geometry, as listed in the Alexandria database.

```
TcCNF2
1.0
3.7569 0.0000 0.0000
0.0000 3.9758 0.0000
0.0000 0.0000 3.9758
C N Tc F
1 1 1 2
Cartesian
1.8784 1.9879 1.9879 C
1.8784 0.0000 0.0000 N
0.0000 0.0000 0.0000 Tc
0.0000 0.0000 1.9879 F
0.0000 1.9879 0.0000 F
```

Results
The raw total energy is -11.743 eV per atom. The value obtained for the total magnetization is 2.9 μB per formula unit. The volume is 59.4 Å³ per cell.



First-principles (SCAN) data for NaYCO3F2 at its PBEsol-relaxed geometry, as listed in the Alexandria database.

```
NaYCO3F2
1.0
6.2942 0.0000 0.0000
0.0000 6.9330 0.0000
0.0000 0.0000 9.1671
Na Y C O F
4 4 4 12 8
Cartesian
1.0655 1.7333 1.9957 Na
4.2126 1.7333 2.5879 Na
5.2287 5.1998 7.1715 Na
2.0816 5.1998 6.5792 Na
3.2108 1.7333 8.4601 Y
6.2305 5.1998 3.8766 Y
3.0834 5.1998 0.7070 Y
0.0637 1.7333 5.2906 Y
3.4175 5.1998 4.0342 C
2.8767 1.7333 5.1329 C
6.0238 1.7333 8.6178 C
0.2704 5.1998 0.5494 C
5.3006 5.1998 0.4026 O
5.2372 1.7333 0.4758 O
0.8451 5.1998 1.7220 O
5.4491 1.7333 7.4451 O
2.0901 1.7333 4.1078 O
0.9936 1.7333 8.7646 O
4.2041 5.1998 5.0594 O
4.1407 1.7333 4.9861 O
2.3020 1.7333 6.3056 O
2.1535 5.1998 4.1810 O
3.9922 5.1998 2.8616 O
1.0570 5.1998 8.6913 O
0.2780 6.5167 5.7731 F
3.4251 6.5167 7.9776 F
2.8691 0.4163 1.1895 F
6.0162 0.4163 3.3940 F
0.2780 3.8828 5.7731 F
6.0162 3.0502 3.3940 F
2.8691 3.0502 1.1895 F
3.4251 3.8828 7.9776 F
```

Results
The raw total energy is -11.448 eV per atom. The value obtained for the total magnetization is 0.0 μB per formula unit. The volume is 400.0 Å³ per cell.



First-principles (SCAN) data for Na2YCO3F3 at its PBEsol-relaxed geometry, as listed in the Alexandria database.

```
Na2YCO3F3
1.0
-4.2639 -4.5247 -1.5869
3.4523 0.2661 -10.0350
9.4735 -9.9777 2.9946
Na Y C O F
16 8 8 24 24
Cartesian
8.9442 -6.0215 -8.2401 Na
2.3852 -3.5381 -2.4094 Na
3.1235 -6.2995 -4.7796 Na
2.5257 -1.1622 -4.8490 Na
1.7421 -5.6938 -8.3027 Na
6.9199 -8.5425 -0.3246 Na
3.9807 -3.5438 -7.4756 Na
8.5153 -8.5482 -5.3907 Na
6.1362 -13.0741 -3.7782 Na
-0.8800 -3.0776 -0.4566 Na
0.1466 -5.6881 -3.2366 Na
6.2767 -10.6982 -6.2179 Na
9.5420 -11.1588 -8.1706 Na
5.5385 -7.9368 -3.8476 Na
4.6813 -10.6926 -1.1517 Na
-0.2823 -8.2149 -0.3872 Na
1.7096 -9.5563 -3.2097 Y
6.9523 -4.6800 -5.4176 Y
-3.4803 -4.6024 -3.3897 Y
12.1422 -9.6339 -5.2375 Y
5.5411 -7.1892 -7.4437 Y
0.3511 -2.2353 -7.6237 Y
8.3108 -12.0010 -1.0035 Y
3.1209 -7.0471 -1.1836 Y
0.6273 -7.6197 -5.8144 C
1.0034 -5.5218 -0.0145 C
8.0347 -6.6166 -2.8128 C
6.9590 -12.4856 -8.9534 C
7.3352 -10.3877 -3.1535 C
7.6585 -8.7145 -8.6128 C
1.3267 -3.8486 -5.4738 C
1.7029 -1.7507 0.3261 C
0.6805 -2.7106 -5.3035 O
-0.2960 -6.9755 -5.2300 O
4.7047 -13.3042 1.1167 O
5.5344 -2.1708 -8.7117 O
7.1070 -9.0751 -7.5006 O
4.9832 -3.2219 -5.5107 O
10.5086 -8.1500 -6.3058 O
-1.8467 -6.0864 -2.3214 O
7.0595 -6.0470 -3.4956 O
3.7828 -7.8254 0.9448 O
3.5521 -4.5908 -9.4578 O
8.9579 -7.2609 -3.3973 O
1.5816 -4.1471 -6.7055 O
1.5549 -5.1612 -1.1267 O
7.9815 -11.5257 -3.3237 O
1.6863 -4.5555 -4.4839 O
4.8792 -6.4109 -9.5721 O
6.9756 -9.6808 -4.1434 O
3.1276 -12.0655 0.0844 O
7.0803 -10.0893 -1.9218 O
1.6024 -8.1894 -5.1316 O
3.9572 -0.9321 -9.7440 O
3.6787 -11.0144 -3.1166 O
5.1099 -9.6456 0.8306 O
-1.2540 -3.8677 -7.5658 F
4.7454 -8.8004 -6.0139 F
9.9160 -10.3686 -1.0615 F
10.8190 -11.1091 -6.3853 F
7.5612 -6.6744 -6.3366 F
6.0457 -12.5348 -1.3985 F
2.6162 -1.7016 -7.2288 F
5.3632 -7.3081 -1.4947 F
-1.4596 -4.2815 -4.4322 F
3.2988 -6.9282 -7.1325 F
3.9165 -5.4359 -2.6133 F
6.0052 -4.9182 -7.4959 F
1.1008 -7.5620 -2.2906 F
4.3377 -8.7907 -8.5536 F
3.4347 -8.0502 -3.2298 F
0.4182 -2.3353 -2.3869 F
4.3242 -5.4457 -0.0737 F
8.0328 -10.4726 0.6875 F
8.2437 -11.9010 -6.2404 F
10.1215 -9.9548 -4.1950 F
5.2273 -6.1861 -5.3975 F
2.6567 -9.3182 -1.1314 F
0.6291 -3.7637 -9.3148 F
-2.1570 -3.1273 -2.2419 F
```

Results
The raw total energy is -10.522 eV per atom. The value obtained for the total magnetization is 0.0 μB per formula unit. The volume is 959.1 Å³ per cell.